Entry 1:
This record from Alexandria via LeMat-Bulk describes a PBEsol-optimized structure of MnTeO3. The functional is meta-GGA SCAN.

It has space group Pnma (No. 62), with a = 6.0620 Å, b = 7.5851 Å, c = 5.4483 Å, α = 90.00°, β = 90.00° and γ = 90.00°. The asymmetric unit holds Mn at (0.0000, 0.0000, 0.0000), Te at (0.0196, 0.2500, 0.4870), O at (0.0583, 0.7500, 0.1704) and O at (0.1784, 0.5668, 0.6372).

The formation energy (no corrections) comes out at -7.5 eV/f.u.

---

Entry 2:
This record from Alexandria via LeMat-Bulk describes a PBEsol-optimized structure of Mn4TeO8. The functional is meta-GGA SCAN.

It has space group C2/m (No. 12), with a = 10.5935 Å, b = 5.8422 Å, c = 6.2826 Å, α = 90.00°, β = 123.64° and γ = 90.00°. The asymmetric unit holds Mn at (0.0000, 0.0000, 0.0000), Mn at (0.0000, 0.5000, 0.5000), Mn at (0.2500, 0.2500, 0.0000), Te at (0.0000, 0.0000, 0.5000), O at (0.0003, 0.2567, 0.2842), O at (0.2244, 0.0000, 0.1735) and O at (0.2307, 0.0000, 0.7775).

The formation energy (no corrections) comes out at -21.8 eV/f.u.

---

- What is the formula in the first record?
  MnTeO3